[1]
Compound: Li2YZr
Source: Alexandria
Functional: PBE-GGA
Structure: optimized geometry

Lattice parameters (Å, degrees): 5.974 5.974 5.161 64.54 64.54 32.27
Fractional coordinates of all 4 atoms:
1 Li 0.027 0.027 0.973
2 Li 0.720 0.720 0.780
3 Y 0.490 0.490 0.510
4 Zr 0.263 0.263 0.237

Calculated values
ΔH_f (0 K)	0.26	eV/atom
energy	-17.8	eV per formula unit

[2]
Compound: CrIrPb2
Source: Alexandria
Functional: PBE-GGA
Structure: optimized geometry

Lattice parameters (Å, degrees): 3.468 3.468 6.926 90.00 90.00 90.00
Each line ends with the local moment (μB).
Fractional coordinates of all 4 atoms:
1 Cr 0.500 0.500 0.250  3.74
2 Ir 0.500 0.500 0.750  -0.05
3 Pb 0.000 0.000 0.986  -0.03
4 Pb 0.000 0.000 0.514  -0.03

Calculated values
ΔH_f (0 K)	0.58	eV/atom
energy	-23.6	eV per formula unit

[3]
Compound: Nd4SiSe2Br
Source: Alexandria
Functional: PBE-GGA
Structure: optimized geometry

Lattice parameters (Å, degrees): 4.240 7.309 7.534 71.10 90.00 90.00
Fractional coordinates of all 8 atoms:
1 Nd 0.000 0.760 0.721
2 Nd 0.000 0.240 0.279
3 Nd 0.500 0.743 0.271
4 Nd 0.500 0.257 0.729
5 Si 0.000 0.500 0.500
6 Se 0.000 0.000 0.000
7 Se 0.500 0.000 0.500
8 Br 0.500 0.500 0.000

Calculated values
energy	-44.7	eV per formula unit
uncorrected formation energy	-33.44	kcal/mol of atoms

[4]
Compound: Tm3Tl4GeTe8
Source: Alexandria
Functional: PBE-GGA
Structure: optimized geometry

Lattice parameters (Å, degrees): 8.831 9.460 8.832 117.83 120.00 90.00
Fractional coordinates of all 16 atoms:
1 Tm 0.500 0.500 0.000
2 Tm 0.500 0.500 0.500
3 Tm 0.000 0.500 0.500
4 Tl 0.500 0.000 0.000
5 Tl 0.500 0.000 0.500
6 Tl 0.000 0.000 0.000
7 Tl 0.000 0.000 0.500
8 Ge 0.000 0.500 0.000
9 Te 0.235 0.708 0.974
10 Te 0.235 0.708 0.469
11 Te 0.262 0.286 0.524
12 Te 0.739 0.708 0.974
13 Te 0.261 0.292 0.026
14 Te 0.738 0.714 0.476
15 Te 0.765 0.292 0.531
16 Te 0.765 0.292 0.026

Calculated values
energy	-65.3	eV per formula unit
uncorrected formation energy	-18.31	kcal/mol of atoms

Q: Look up the energy of the fourth one.
A: -65.3 eV per formula unit

Q: Look up the energy of the fourth one.
A: -65.3 eV per formula unit

Q: Number 4 is which compound?
A: Tm3Tl4GeTe8

Q: Look up the energy of the fourth one.
A: -65.3 eV per formula unit